(1)
A geometry-optimized Tc2HgW structure. Source: the Alexandria database, functional PBEsol.

Density in Mg/m³: 15.03
Raw total energy in eV per atom: -8.848
Energy relative to the elements in eV per atom: 0.379

Cell lengths 2.8783, 3.8849, 5.7334 Å; angles 90.00, 90.00, 90.00 degrees
Last column: nearest neighbours and their distance in Å.
Space group Pmmm (No. 47)
Unique sites:
Tc (0.0000, 0.0000, 0.2108) (multiplicity 2)  1 Tc 2.42, 4 W 2.70
Hg (0.5000, 0.5000, 0.5000) (multiplicity 1)  2 W 2.87, 2 Hg 2.88, 8 Tc 2.93
W (0.5000, 0.5000, 0.0000) (multiplicity 1)  8 Tc 2.70, 2 Hg 2.87, 2 W 2.88

(2)
A geometry-optimized PdRhSN2 structure. Source: the Alexandria database, functional PBEsol.

Density in Mg/m³: 6.47
Raw total energy in eV per atom: -5.533
Formation energy without anion corrections in eV/atom: 1.57

Cell lengths 3.6935, 3.6935, 5.0718 Å; angles 90.00, 90.00, 90.00 degrees
Last column: nearest neighbours and their distance in Å.
Space group P4/mmm (No. 123)
Unique sites:
Pd (0.0000, 0.0000, 0.0000) (multiplicity 1)  4 N 1.85
Rh (0.5000, 0.5000, 0.5000) (multiplicity 1)  4 S 2.61
S (0.0000, 0.0000, 0.5000) (multiplicity 1)  2 Pd 2.54, 4 Rh 2.61
N (0.0000, 0.5000, 0.0000) (multiplicity 2)  2 Pd 1.85

(3)
A geometry-optimized MnCuW3 structure. Source: the Alexandria database, functional PBEsol.

Density in Mg/m³: 12.66
Raw total energy in eV per atom: -9.075
Energy relative to the elements in eV per atom: 2.028

Cell lengths 4.4455, 4.4455, 4.4455 Å; angles 90.00, 90.00, 90.00 degrees
Last column: nearest neighbours and their distance in Å.
Space group Pm-3m (No. 221)
Unique sites:
Mn (0.0000, 0.0000, 0.0000) (multiplicity 1)  12 W 3.14
Cu (0.5000, 0.5000, 0.5000) (multiplicity 1)  6 W 2.22
W (0.0000, 0.5000, 0.5000) (multiplicity 3)  2 Cu 2.22

(4)
A geometry-optimized Ca2BeIn structure. Source: the Alexandria database, functional PBEsol.

Density in Mg/m³: 3.45
Raw total energy in eV per atom: -2.838
Energy relative to the elements in eV per atom: -0.025

Cell lengths 5.1868, 5.1868, 7.2887 Å; angles 90.00, 90.00, 90.00 degrees
Last column: nearest neighbours and their distance in Å.
Space group I4/mmm (No. 139)
Unique sites:
Ca (0.0000, 0.5000, 0.2500) (multiplicity 4)  4 In 3.17, 4 Be 3.17
Be (0.0000, 0.0000, 0.0000) (multiplicity 2)  8 Ca 3.17
In (0.0000, 0.0000, 0.5000) (multiplicity 2)  8 Ca 3.17

(5)
A geometry-optimized GaC2S structure. Source: the Alexandria database, functional PBEsol.

Density in Mg/m³: 4.91
Raw total energy in eV per atom: -4.443
Formation energy without anion corrections in eV/atom: 2.31

Cell lengths 5.5405, 5.5405, 5.5405 Å; angles 90.00, 90.00, 90.00 degrees
Last column: nearest neighbours and their distance in Å.
Space group Fm-3m (No. 225)
Unique sites:
Ga (0.0000, 0.0000, 0.0000) (multiplicity 4)  8 C 2.40
C (0.2500, 0.2500, 0.2500) (multiplicity 8)  4 S 2.40, 4 Ga 2.40
S (0.0000, 0.0000, 0.5000) (multiplicity 4)  8 C 2.40

(6)
A geometry-optimized Nb6RuRh structure. Source: the Alexandria database, functional PBEsol.

Density in Mg/m³: 9.42
Raw total energy in eV per atom: -10.622
Energy relative to the elements in eV per atom: -0.217

Cell lengths 5.1207, 5.1207, 5.1207 Å; angles 90.00, 90.00, 90.00 degrees
Last column: nearest neighbours and their distance in Å.
Space group Pm-3 (No. 200)
Unique sites:
Nb (0.0000, 0.2511, 0.5000) (multiplicity 6)  2 Nb 2.55-2.57
Ru (0.5000, 0.5000, 0.5000) (multiplicity 1)  12 Nb 2.86
Rh (0.0000, 0.0000, 0.0000) (multiplicity 1)  12 Nb 2.87

(7)
A geometry-optimized YAgPt2 structure. Source: the Alexandria database, functional PBEsol.

Density in Mg/m³: 13.95
Raw total energy in eV per atom: -6.756
Energy relative to the elements in eV per atom: -0.741

Cell lengths 4.0330, 4.0330, 8.5889 Å; angles 90.00, 90.00, 90.00 degrees
Last column: nearest neighbours and their distance in Å.
Space group I-4m2 (No. 119)
Unique sites:
Y (0.0000, 0.0000, 0.0000) (multiplicity 2)  8 Pt 2.85-2.95, 4 Ag 2.95
Ag (0.0000, 0.5000, 0.2500) (multiplicity 2)  8 Pt 2.85-2.95, 4 Y 2.95
Pt (0.0000, 0.0000, 0.5000) (multiplicity 2)  4 Y 2.85, 4 Ag 2.95, 4 Pt 2.95
Pt (0.0000, 0.5000, 0.7500) (multiplicity 2)  4 Ag 2.85, 4 Pt 2.95, 4 Y 2.95

(8)
A geometry-optimized RbScTcPt2 structure. Source: the Alexandria database, functional PBEsol.

Density in Mg/m³: 8.87
Raw total energy in eV per atom: -5.463
Energy relative to the elements in eV per atom: 1.102

Cell lengths 4.8439, 4.8439, 4.9351 Å; angles 90.00, 90.00, 90.00 degrees
Last column: nearest neighbours and their distance in Å.
Space group P4/mmm (No. 123)
Unique sites:
Rb (0.0000, 0.0000, 0.0000) (multiplicity 1)  2 Tc 2.47
Sc (0.5000, 0.5000, 0.0000) (multiplicity 1)  4 Rb 3.43, 8 Pt 3.46
Tc (0.0000, 0.0000, 0.5000) (multiplicity 1)  4 Pt 2.42, 2 Rb 2.47
Pt (0.0000, 0.5000, 0.5000) (multiplicity 2)  2 Tc 2.42

| no. | DOS(E_F) (states/eV/f.u.) |
| --- | --- |
| 1 | 3.66 |
| 2 | 5.97 |
| 3 | 6.01 |
| 4 | 2.12 |
| 5 | 2.49 |
| 6 | 6.21 |
| 7 | 1.00 |
| 8 | 4.39 |